1.
Entry from Alexandria via LeMat-Bulk: an optimized crystal structure of Ir2RuPb (PBE-GGA).

Properties
ΔE_f (eV per atom): 0.51
DFT total energy (eV/atom): -7.17
Space-group type: Cmmm, No. 65

a b c (Å): 5.7411 7.8374 2.9231
angles (deg): 90.00 90.00 90.00
Atoms (fractional coordinates):
Ir: 0.2500 0.2500 0.0000
Ir: 0.2500 0.7500 0.0000
Ir: 0.7500 0.2500 0.0000
Ir: 0.7500 0.7500 0.0000
Ru: 0.0000 0.0000 0.5000
Ru: 0.5000 0.5000 0.5000
Pb: 0.0000 0.5000 0.5000
Pb: 0.5000 0.0000 0.5000


2.
Entry from Alexandria via LeMat-Bulk: an optimized crystal structure of Ir2RuPb (PBE-GGA).

Properties
ΔE_f (eV per atom): 0.45
DFT total energy (eV/atom): -7.23
Space-group type: P4/mmm, No. 123

a b c (Å): 2.9018 2.9018 8.1748
angles (deg): 90.00 90.00 90.00
Atoms (fractional coordinates):
Ir: 0.0000 0.0000 0.2116
Ir: 0.0000 0.0000 0.7884
Ru: 0.5000 0.5000 0.0000
Pb: 0.5000 0.5000 0.5000


3.
Entry from Alexandria via LeMat-Bulk: an optimized crystal structure of Ir2RuPb (PBE-GGA).

Properties
ΔE_f (eV per atom): 0.43
DFT total energy (eV/atom): -7.25
Space-group type: C2/m, No. 12

a b c (Å): 9.3327 2.9470 4.8892
angles (deg): 90.00 99.83 90.00
Atoms (fractional coordinates):
Ir: 0.2425 0.0000 0.2233
Ir: 0.2575 0.5000 0.7767
Ir: 0.7425 0.5000 0.2233
Ir: 0.7575 0.0000 0.7767
Ru: 0.0000 0.5000 0.0000
Ru: 0.5000 0.0000 0.0000
Pb: 0.0000 0.0000 0.5000
Pb: 0.5000 0.5000 0.5000


- Which of these has the highest ΔE_f?
  number 1